(1)
An optimized crystal structure of Ti2AlAu4. Source: Alexandria via LeMat-Bulk, functional PBE.

Values from the calculation:
The calculated formation energy is -0.255 eV/atom. The symmetry is P2_1/m, No. 11. As for the size of the total moment: 1.12 μB per formula unit. As for the total energy: -68.858 eV per cell. As for the density of states at the Fermi level: 10.10 states/eV/cell. The volume is 17.705 Å³/atom.

Cell: 6.830 5.327 7.541 Å, 90.00 115.39 90.00°
Each line ends with the local moment (μB).
Element x y z (fractional)
Au 0.034 0.750 0.422  0.00
Au 0.415 0.999 0.778  0.01
Au 0.966 0.250 0.578  0.00
Au 0.585 0.499 0.222  0.01
Au 0.931 0.250 0.166  0.02
Au 0.585 0.001 0.222  0.01
Au 0.415 0.501 0.778  0.01
Au 0.069 0.750 0.834  0.02
Al 0.252 0.750 0.219  -0.01
Al 0.748 0.250 0.781  -0.01
Ti 0.648 0.750 0.570  0.68
Ti 0.352 0.250 0.430  0.68
Ti 0.204 0.250 0.990  0.21
Ti 0.796 0.750 0.010  0.21

---

(2)
An optimized crystal structure of BeCoSe2. Source: Alexandria via LeMat-Bulk, functional PBE.

Values from the calculation:
The symmetry is Immm, No. 71. As for the size of the total moment: 2.16 μB per formula unit. As for the total energy: -16.944 eV per cell. As for the density of states at the Fermi level: 3.06 states/eV/cell. As for the formation energy (no corrections): 0.2143 eV per atom. The volume is 23.039 Å³/atom.

Cell: 5.605 5.605 5.605 Å, 146.00 84.17 105.82°
Each line ends with the local moment (μB).
Element x y z (fractional)
Se 0.986 0.986 0.000  0.07
Se 0.514 0.514 0.000  0.07
Be 0.750 0.250 0.500  0.04
Co 0.250 0.750 0.500  1.81

---

(3)
An optimized crystal structure of NaSeIN2. Source: Alexandria via LeMat-Bulk, functional PBE.

Values from the calculation:
The symmetry is P4/mmm, No. 123. As for the size of the total moment: 5.59 μB per formula unit. As for the total energy: -14.041 eV per cell. As for the density of states at the Fermi level: 2.86 states/eV/cell. As for the formation energy (no corrections): 1.7927 eV per atom. The volume is 24.844 Å³/atom.

Cell: 4.539 4.539 6.030 Å, 90.00 90.00 90.00°
Each line ends with the local moment (μB).
Element x y z (fractional)
Na 0.000 0.000 0.000  0.02
Se 0.000 0.000 0.500  0.15
I 0.500 0.500 0.500  0.11
N 0.000 0.500 0.000  1.72
N 0.500 0.000 0.000  1.72

---

(4)
An optimized crystal structure of BeCrOs3. Source: Alexandria via LeMat-Bulk, functional PBE.

Values from the calculation:
The calculated formation energy is 0.710 eV/atom. The symmetry is Pm-3m, No. 221. As for the size of the total moment: 0.00 μB per formula unit. As for the total energy: -43.489 eV per cell. As for the density of states at the Fermi level: 5.03 states/eV/cell. The volume is 13.295 Å³/atom.

Cell: 4.051 4.051 4.051 Å, 90.00 90.00 90.00°
Element x y z (fractional)
Os 0.000 0.500 0.000
Os 0.000 0.000 0.500
Os 0.500 0.000 0.000
Be 0.000 0.000 0.000
Cr 0.500 0.500 0.500

---

(5)
An optimized crystal structure of MgGeRu. Source: Alexandria via LeMat-Bulk, functional PBE.

Values from the calculation:
The calculated formation energy is -0.328 eV/atom. The symmetry is I4mm, No. 107. As for the size of the total moment: 0.00 μB per formula unit. As for the total energy: -32.946 eV per cell. As for the density of states at the Fermi level: 0.84 states/eV/cell. The volume is 15.587 Å³/atom.

Cell: 3.191 5.115 6.821 Å, 62.77 103.50 108.17°
Element x y z (fractional)
Mg 0.615 0.867 0.590
Mg 0.615 0.367 0.089
Ge 0.305 0.902 0.934
Ge 0.305 0.402 0.434
Ru 0.933 0.844 0.248
Ru 0.933 0.344 0.748

---

(6)
An optimized crystal structure of Y2TmTh. Source: Alexandria via LeMat-Bulk, functional PBE.

Values from the calculation:
The calculated formation energy is 0.031 eV/atom. The symmetry is R-3m, No. 166. As for the size of the total moment: 0.00 μB per formula unit. As for the total energy: -24.696 eV per cell. As for the density of states at the Fermi level: 6.40 states/eV/cell. The volume is 31.822 Å³/atom.

Cell: 3.569 3.569 11.719 Å, 81.24 81.24 60.00°
Element x y z (fractional)
Y 0.749 0.749 0.752
Y 0.251 0.251 0.248
Th 0.000 0.000 0.000
Tm 0.500 0.500 0.500